DFT (GGA-PBE) results for YMn2Zn after structural relaxation.

Computed properties:
Space group = No. 99
Electronic total energy = -6.468 eV per atom
ΔE_f = 0.051 eV/atom
Density = 6.35 g/cm3

Unit cell a=3.1576 b=3.1576 c=6.9333 alpha=90.00 beta=90.00 gamma=90.00
Sites, in units of the cell vectors:
1 Y 0.0000 0.0000 0.0000
2 Mn 0.0000 0.0000 0.5275
3 Mn 0.5000 0.5000 0.6998
4 Zn 0.5000 0.5000 0.3108